Below is an optimized crystal structure of Sm3ThHg7, with properties calculated at the PBE-GGA level.

* DFT total energy: -2.310 eV/atom
* space-group type: Cmcm
* energy relative to the elements: -0.16 eV per atom
* total magnetic moment: 0.0000 μB per atom
* density: 9.14 g/cm³

The structure in POSCAR format:
```
Sm3ThHg7
1.0
3.595 0.000 0.000
-1.798 16.550 0.000
0.000 0.000 12.747
Sm Th Hg
6 2 14
direct
0.069 0.138 0.459
0.931 0.862 0.541
0.188 0.377 0.750
0.812 0.623 0.250
0.069 0.138 0.041
0.931 0.862 0.959
0.929 0.859 0.250
0.071 0.141 0.750
0.426 0.851 0.750
0.574 0.149 0.250
0.492 0.984 0.382
0.508 0.016 0.618
0.508 0.016 0.882
0.492 0.984 0.118
0.368 0.737 0.403
0.632 0.263 0.597
0.272 0.544 0.428
0.728 0.456 0.572
0.728 0.456 0.928
0.272 0.544 0.072
0.368 0.737 0.097
0.632 0.263 0.903
```

Below is an optimized crystal structure of CsBaLi2, with properties calculated at the PBE-GGA level.

* DFT total energy: -1.441 eV/atom
* space-group type: Fm-3m
* energy relative to the elements: 0.21 eV per atom
* total magnetic moment: 0.0000 μB per atom
* density: 2.35 g/cm³

The structure in POSCAR format:
```
CsBaLi2
1.0
2.059 -6.235 0.283
-4.240 -4.796 1.486
-1.862 -4.288 -4.619
Cs Ba Li
1 1 2
direct
0.000 0.000 0.000
0.500 0.500 0.500
0.250 0.250 0.250
0.750 0.750 0.750
```

Below is an optimized crystal structure of BiP2Pb, with properties calculated at the PBE-GGA level.

* DFT total energy: -4.263 eV/atom
* space-group type: I-42d
* energy relative to the elements: 0.34 eV per atom
* total magnetic moment: 0.0000 μB per atom
* density: 6.56 g/cm³

The structure in POSCAR format:
```
BiP2Pb
1.0
7.067 0.000 0.000
0.000 7.067 0.000
3.534 3.534 4.843
Pb P Bi
2 4 2
direct
0.500 0.500 0.000
0.250 0.750 0.500
0.627 0.125 0.250
0.123 0.625 0.250
0.375 0.373 0.750
0.875 0.877 0.750
0.000 0.000 0.000
0.750 0.250 0.500
```

Below is an optimized crystal structure of Ta5Ag3O12, with properties calculated at the PBE-GGA level.

* DFT total energy: -8.271 eV/atom
* space-group type: Ia-3d
* total magnetic moment: 0.0947 μB per atom
* density: 7.62 g/cm³

The structure in POSCAR format:
```
Ta5Ag3O12
1.0
-10.878 -3.625 2.417
4.797 -7.099 -7.994
6.450 -0.207 9.781
Ag Ta O
12 20 48
direct
0.750 0.375 0.125
0.875 0.750 0.125
0.375 0.750 0.625
0.250 0.125 0.375
0.875 0.125 0.250
0.375 0.625 0.250
0.625 0.375 0.750
0.125 0.875 0.750
0.750 0.875 0.625
0.625 0.250 0.375
0.125 0.250 0.875
0.250 0.625 0.875
0.125 0.375 0.250
0.000 0.500 0.000
0.000 0.000 0.000
0.375 0.250 0.125
0.500 0.000 0.500
0.500 0.500 0.000
0.125 0.750 0.375
0.750 0.125 0.875
0.750 0.625 0.375
0.375 0.125 0.750
0.625 0.875 0.250
0.500 0.500 0.500
0.500 0.000 0.000
0.000 0.000 0.500
0.250 0.375 0.625
0.250 0.875 0.125
0.000 0.500 0.500
0.875 0.250 0.625
0.625 0.750 0.875
0.875 0.625 0.750
0.670 0.107 0.989
0.319 0.489 0.381
0.011 0.393 0.330
0.489 0.170 0.107
0.562 0.670 0.681
0.011 0.619 0.181
0.319 0.830 0.438
0.119 0.938 0.107
0.619 0.011 0.681
0.670 0.562 0.181
0.830 0.511 0.393
0.819 0.881 0.989
0.107 0.670 0.489
0.393 0.381 0.062
0.062 0.881 0.393
0.438 0.107 0.619
0.062 0.181 0.170
0.511 0.681 0.119
0.819 0.938 0.330
0.107 0.438 0.119
0.393 0.011 0.830
0.619 0.607 0.438
0.881 0.819 0.489
0.830 0.319 0.938
0.381 0.393 0.562
0.119 0.181 0.511
0.170 0.681 0.062
0.181 0.062 0.670
0.607 0.989 0.170
0.893 0.562 0.881
0.489 0.319 0.881
0.562 0.893 0.381
0.938 0.819 0.830
0.938 0.119 0.607
0.893 0.330 0.511
0.181 0.119 0.011
0.607 0.619 0.938
0.381 0.989 0.319
0.330 0.438 0.819
0.170 0.489 0.607
0.881 0.062 0.893
0.681 0.170 0.562
0.511 0.830 0.893
0.989 0.381 0.819
0.438 0.330 0.319
0.989 0.607 0.670
0.681 0.511 0.619
0.330 0.893 0.011
```

Below is an optimized crystal structure of LiRe2Mo, with properties calculated at the PBE-GGA level.

* DFT total energy: -9.106 eV/atom
* space-group type: Pmm2
* energy relative to the elements: 0.30 eV per atom
* total magnetic moment: 0.0000 μB per atom
* density: 13.52 g/cm³

The structure in POSCAR format:
```
LiRe2Mo
1.0
-1.678 2.070 -0.122
-3.096 -2.572 -1.063
-1.191 -0.665 5.078
Li Mo Re
1 1 2
direct
0.000 0.000 0.502
0.500 0.500 0.740
0.000 0.000 0.010
0.500 0.500 0.248
```

Below is an optimized crystal structure of CaZrPtAu, with properties calculated at the PBE-GGA level.

* DFT total energy: -5.654 eV/atom
* space-group type: F-43m
* energy relative to the elements: -0.69 eV per atom
* total magnetic moment: 0.0000 μB per atom
* density: 10.54 g/cm³

The structure in POSCAR format:
```
CaZrPtAu
1.0
4.886 0.000 0.000
2.443 4.231 0.000
2.443 1.410 3.989
Ca Au Zr Pt
1 1 1 1
direct
0.000 0.000 0.000
0.250 0.250 0.250
0.500 0.500 0.500
0.750 0.750 0.750
```